Entry 1:
Pu2MnRe: relaxed, PBE.

## Properties
energy relative to the elements: 0.190 eV/atom
E_tot: -12.3808 eV per atom
energy relative to the lowest polymorph listed for this composition: 9.5 meV/atom
volume: 308.1 Å³ per cell
density: 15.72 g cm⁻³

Geometry as POSCAR:
```
Pu2MnRe
1.0
6.7538 0.0000 0.0000
0.0000 6.7538 0.0000
0.0000 0.0000 6.7538
Pu Mn Re
8 4 4
Direct
0.2500 0.2500 0.2500 Pu
0.2500 0.2500 0.7500 Pu
0.2500 0.7500 0.2500 Pu
0.2500 0.7500 0.7500 Pu
0.7500 0.2500 0.2500 Pu
0.7500 0.2500 0.7500 Pu
0.7500 0.7500 0.2500 Pu
0.7500 0.7500 0.7500 Pu
0.0000 0.0000 0.0000 Mn
0.0000 0.5000 0.5000 Mn
0.5000 0.0000 0.5000 Mn
0.5000 0.5000 0.0000 Mn
0.0000 0.0000 0.5000 Re
0.0000 0.5000 0.0000 Re
0.5000 0.0000 0.0000 Re
0.5000 0.5000 0.5000 Re
```

---

Entry 2:
Pr2Nd2Sm2Tl: relaxed, PBE.

## Properties
energy relative to the elements: 0.037 eV/atom
E_tot: -4.3775 eV per atom
volume: 471.8 Å³ per cell
density: 7.57 g cm⁻³

Geometry as POSCAR:
```
Pr2Nd2Sm2Tl
1.0
17.6680 0.0000 0.0000
0.0000 3.5760 0.0000
-3.6755 0.0000 7.4667
Pr Nd Sm Tl
4 4 4 2
Direct
0.1407 0.0000 0.3933 Pr
0.3593 0.5000 0.6067 Pr
0.6407 0.5000 0.3933 Pr
0.8593 0.0000 0.6067 Pr
0.2229 0.5000 0.8030 Nd
0.2771 0.0000 0.1970 Nd
0.7229 0.0000 0.8030 Nd
0.7771 0.5000 0.1970 Nd
0.0665 0.0000 0.8840 Sm
0.4335 0.5000 0.1160 Sm
0.5665 0.5000 0.8840 Sm
0.9335 0.0000 0.1160 Sm
0.0000 0.5000 0.5000 Tl
0.5000 0.0000 0.5000 Tl
```

---

Entry 3:
Li9Ti5Si2O16: relaxed, PBE.

## Properties
E_tot: -7.1109 eV per atom
volume: 282.0 Å³ per cell
density: 3.62 g cm⁻³
ΔE_f (raw): -80.7 eV per formula unit

Geometry as POSCAR:
```
Li9Ti5Si2O16
1.0
4.9907 0.0000 0.0000
0.8663 5.1374 0.0000
0.8154 1.7760 10.9980
Li Ti Si O
9 5 2 16
Direct
0.0000 0.0000 0.0000 Li
0.2431 0.4174 0.0611 Li
0.2466 0.9388 0.5602 Li
0.2495 0.1698 0.3103 Li
0.2569 0.6881 0.8232 Li
0.7431 0.3119 0.1768 Li
0.7505 0.8302 0.6897 Li
0.7534 0.0612 0.4398 Li
0.7569 0.5826 0.9389 Li
0.0000 0.5000 0.5000 Ti
0.0012 0.2572 0.7514 Ti
0.4982 0.3870 0.6185 Ti
0.5018 0.6130 0.3815 Ti
0.9988 0.7428 0.2486 Ti
0.4976 0.8773 0.1169 Si
0.5024 0.1227 0.8831 Si
0.1222 0.5930 0.6610 O
0.1222 0.8371 0.4018 O
0.1642 0.0495 0.1545 O
0.1671 0.3194 0.9003 O
0.3747 0.2748 0.4671 O
0.3796 0.5759 0.2041 O
0.3816 0.0534 0.7405 O
0.3989 0.8250 0.9717 O
0.6011 0.1750 0.0283 O
0.6184 0.9466 0.2595 O
0.6204 0.4241 0.7959 O
0.6253 0.7252 0.5329 O
0.8329 0.6806 0.0997 O
0.8358 0.9505 0.8455 O
0.8778 0.1629 0.5982 O
0.8778 0.4070 0.3390 O
```

---

Entry 4:
HoPuO4: relaxed, PBE.

## Properties
E_tot: -9.6255 eV per atom
volume: 151.0 Å³ per cell
density: 10.40 g cm⁻³
ΔE_f (raw): -19.0 eV per formula unit

Geometry as POSCAR:
```
HoPuO4
1.0
-2.6640 2.6640 5.3187
2.6640 -2.6640 5.3187
2.6640 2.6640 -5.3187
Ho Pu O
2 2 8
Direct
0.3750 0.6250 0.7500 Ho
0.6250 0.3750 0.2500 Ho
0.1250 0.8750 0.2500 Pu
0.8750 0.1250 0.7500 Pu
0.0000 0.2389 0.2389 O
0.0000 0.7611 0.7611 O
0.2389 0.0000 0.7389 O
0.2389 0.5000 0.2389 O
0.5000 0.2389 0.7389 O
0.5000 0.7611 0.2611 O
0.7611 0.0000 0.2611 O
0.7611 0.5000 0.7611 O
```